# 1
The following is a PBE calculation of crystalline CsSrP3 at its relaxed geometry, from Alexandria via LeMat-Bulk.

Properties
Energy   -0.11497 hartree per atom
Volume   36.9 Å³ per atom
D(E_F)   3.59 states/eV per cell
Formation energy from the elements   0.62 eV/atom
ΔE to the lowest computed polymorph   0.00 eV per formula unit
M_tot   0.000 μB per formula unit

abc: 5.694 5.694 5.694
angles: 90.00 90.00 90.00
Space group Pm-3m (No. 221)
Unique sites:
Cs: 0.000 0.000 0.000 (multiplicity 1)
Sr: 0.500 0.500 0.500 (multiplicity 1)
P: 0.000 0.500 0.500 (multiplicity 3)

***

# 2
The following is a PBE calculation of crystalline Pm5PrSm2 at its relaxed geometry, from Alexandria via LeMat-Bulk.

Properties
Energy   -0.16880 hartree per atom
Volume   34.7 Å³ per atom
D(E_F)   51.25 states/eV per cell
Formation energy from the elements   0.15 eV/atom
ΔE to the lowest computed polymorph   1.11 eV per formula unit
M_tot   0.000 μB per formula unit

abc: 16.799 10.167 6.585
angles: 90.00 98.66 90.00
Space group C2/c (No. 15)
Unique sites:
Pm: 0.000 0.058 0.250 (multiplicity 4)
Pm: 0.097 0.410 0.145 (multiplicity 8)
Pm: 0.200 0.089 0.020 (multiplicity 8)
Pr: 0.250 0.250 0.500 (multiplicity 4)
Sm: 0.078 0.254 0.623 (multiplicity 8)

***

# 3
The following is a PBE calculation of crystalline CuSIF2 at its relaxed geometry, from Alexandria via LeMat-Bulk.

Properties
Raw formation energy   4 meV per atom
Energy   -0.09918 hartree per atom
Volume   20.1 Å³ per atom
D(E_F)   4.74 states/eV per cell
M_tot   1.131 μB per formula unit

abc: 4.335 4.335 5.352
angles: 90.00 90.00 90.00
Space group P4/mmm (No. 123)
Unique sites:
Cu: 0.000 0.000 0.000 (multiplicity 1)
S: 0.500 0.500 0.000 (multiplicity 1)
I: 0.000 0.000 0.500 (multiplicity 1)
F: 0.000 0.500 0.500 (multiplicity 2)

***

# 4
The following is a PBE calculation of crystalline Sr2YB at its relaxed geometry, from Alexandria via LeMat-Bulk.

Properties
Energy   -0.13333 hartree per atom
Volume   37.1 Å³ per atom
D(E_F)   23.21 states/eV per cell
Formation energy from the elements   0.50 eV/atom
M_tot   0.000 μB per formula unit

abc: 10.962 10.962 4.941
angles: 90.00 90.00 90.00
Space group I-42d (No. 122)
Unique sites:
Sr: 0.095 0.750 0.125 (multiplicity 8)
Y: 0.000 0.000 0.500 (multiplicity 4)
B: 0.000 0.000 0.000 (multiplicity 4)

***

# 5
The following is a PBE calculation of crystalline ZrSn2GeBi at its relaxed geometry, from Alexandria via LeMat-Bulk.

Properties
Energy   -0.16830 hartree per atom
Volume   32.7 Å³ per atom
D(E_F)   3.84 states/eV per cell
Formation energy from the elements   0.43 eV/atom
M_tot   0.000 μB per formula unit

abc: 5.590 5.590 5.226
angles: 90.00 90.00 90.00
Space group P4/mmm (No. 123)
Unique sites:
Zr: 0.000 0.000 0.000 (multiplicity 1)
Sn: 0.000 0.500 0.000 (multiplicity 2)
Ge: 0.000 0.000 0.500 (multiplicity 1)
Bi: 0.500 0.500 0.500 (multiplicity 1)

***

# 6
The following is a PBE calculation of crystalline TiV2PtC at its relaxed geometry, from Alexandria via LeMat-Bulk.

Properties
Energy   -0.32445 hartree per atom
Volume   13.1 Å³ per atom
D(E_F)   3.16 states/eV per cell
Formation energy from the elements   -0.55 eV/atom
M_tot   1.026 μB per formula unit

abc: 3.966 3.966 4.167
angles: 90.00 90.00 90.00
Space group P4/mmm (No. 123)
Unique sites:
Ti: 0.000 0.000 0.000 (multiplicity 1)
V: 0.000 0.500 0.500 (multiplicity 2)
Pt: 0.500 0.500 0.000 (multiplicity 1)
C: 0.000 0.000 0.500 (multiplicity 1)

***

# 7
The following is a PBE calculation of crystalline Cr2InPt at its relaxed geometry, from Alexandria via LeMat-Bulk.

Properties
Energy   -0.25726 hartree per atom
Volume   15.8 Å³ per atom
D(E_F)   2.67 states/eV per cell
Formation energy from the elements   0.01 eV/atom
M_tot   0.605 μB per formula unit

abc: 3.211 3.233 6.083
angles: 90.00 90.00 90.00
Space group Pmm2 (No. 25)
Unique sites:
Cr: 0.000 0.000 0.000 (multiplicity 1)
Cr: 0.500 0.500 0.181 (multiplicity 1)
In: 0.000 0.000 0.472 (multiplicity 1)
Pt: 0.500 0.500 0.735 (multiplicity 1)

***

# 8
The following is a PBE calculation of crystalline MgCd2Hg2Pb at its relaxed geometry, from Alexandria via LeMat-Bulk.

Properties
Energy   -0.04676 hartree per atom
Volume   26.6 Å³ per atom
D(E_F)   4.58 states/eV per cell
Formation energy from the elements   0.02 eV/atom
M_tot   0.000 μB per formula unit

abc: 4.6893 4.6893 25.1833
angles: 90.00 90.00 120.00
Space group R-3m (No. 166, hexagonal axes)
Unique sites:
Mg: 0.0000 0.0000 0.0000 (multiplicity 3)
Cd: 0.0000 0.0000 0.2370 (multiplicity 6)
Hg: 0.0000 0.0000 0.3733 (multiplicity 6)
Pb: 0.0000 0.0000 0.5000 (multiplicity 3)

***

# 9
The following is a PBE calculation of crystalline SiTcW3 at its relaxed geometry, from Alexandria via LeMat-Bulk.

Properties
Raw formation energy   2102 meV per atom
Energy   -0.32440 hartree per atom
Volume   20.7 Å³ per atom
D(E_F)   5.37 states/eV per cell
ΔE to the lowest computed polymorph   3.62 eV per formula unit
M_tot   0.000 μB per formula unit

abc: 4.695 4.695 4.695
angles: 90.00 90.00 90.00
Space group Pm-3m (No. 221)
Unique sites:
Si: 0.000 0.000 0.000 (multiplicity 1)
Tc: 0.500 0.500 0.500 (multiplicity 1)
W: 0.000 0.500 0.500 (multiplicity 3)

***

# 10
The following is a PBE calculation of crystalline Rb3YBr8 at its relaxed geometry, from Alexandria via LeMat-Bulk.

Properties
Raw formation energy   -1354 meV per atom
Energy   -0.11942 hartree per atom
Volume   40.1 Å³ per atom
D(E_F)   34.85 states/eV per cell
M_tot   1.010 μB per formula unit

abc: 7.758 7.758 16.005
angles: 90.00 90.00 90.00
Space group I4/mmm (No. 139)
Unique sites:
Rb: 0.000 0.000 0.000 (multiplicity 2)
Rb: 0.000 0.500 0.250 (multiplicity 4)
Y: 0.000 0.000 0.500 (multiplicity 2)
Br: 0.220 0.220 0.391 (multiplicity 16)

***

# 11
The following is a PBE calculation of crystalline Ce3NdPb4 at its relaxed geometry, from Alexandria via LeMat-Bulk.

Properties
Energy   -0.17648 hartree per atom
Volume   30.3 Å³ per atom
D(E_F)   37.58 states/eV per cell
Formation energy from the elements   -0.13 eV/atom
ΔE to the lowest computed polymorph   2.37 eV per formula unit
M_tot   3.585 μB per formula unit

abc: 14.357 5.956 5.993
angles: 90.00 108.75 90.00
Space group C2/m (No. 12)
Unique sites:
Ce: 0.000 0.000 0.000 (multiplicity 2)
Ce: 0.126 0.000 0.700 (multiplicity 4)
Nd: 0.000 0.500 0.500 (multiplicity 2)
Pb: 0.127 0.500 0.071 (multiplicity 4)
Pb: 0.244 0.000 0.308 (multiplicity 4)

***

# 12
The following is a PBE calculation of crystalline CaSb3Ir at its relaxed geometry, from Alexandria via LeMat-Bulk.

Properties
Raw formation energy   89 meV per atom
Energy   -0.16748 hartree per atom
Volume   29.7 Å³ per atom
D(E_F)   4.68 states/eV per cell
ΔE to the lowest computed polymorph   0.00 eV per formula unit
M_tot   0.000 μB per formula unit

abc: 5.295 5.295 5.295
angles: 90.00 90.00 90.00
Space group Pm-3m (No. 221)
Unique sites:
Ca: 0.000 0.000 0.000 (multiplicity 1)
Sb: 0.000 0.500 0.500 (multiplicity 3)
Ir: 0.500 0.500 0.500 (multiplicity 1)